Record 1
Material: Y2PI
Method: DFT, PBEsol
State: relaxed

```
Y2PI
1.0
5.0678 0.0000 0.0000
2.5339 4.3889 0.0000
2.5339 1.4630 4.1379
I Y P
1 2 1
direct
0.5000 0.5000 0.5000
0.2500 0.2500 0.2500
0.7500 0.7500 0.7500
0.0000 0.0000 0.0000
```

Summary:
formation energy without anion corrections = -953 meV per atom


Record 2
Material: Te2RuCl
Method: DFT, PBEsol
State: relaxed

```
Te2RuCl
1.0
3.7496 0.0000 0.0000
-1.8748 3.2397 -0.0985
0.0000 -1.9116 7.5814
Ru Te Cl
1 2 1
direct
0.5000 0.0000 0.0000
0.7683 0.5367 0.8017
0.2317 0.4633 0.1983
0.0000 0.0000 0.5000
```

Summary:
E above lowest polymorph = 0 meV/atom
formation energy without anion corrections = -176 meV per atom


Record 3
Material: CaMoPb2
Method: DFT, PBEsol
State: relaxed

```
CaMoPb2
1.0
4.3126 0.0000 0.0000
0.0000 4.3126 0.0000
-2.1563 -2.1563 5.0215
Ca Mo Pb
1 1 2
direct
0.5000 0.5000 0.0000
0.2500 0.7500 0.5000
0.0000 0.0000 0.0000
0.7500 0.2500 0.5000
```

Summary:
energy of formation = 1.66 eV/f.u.
E above lowest polymorph = 0 meV/atom


Record 4
Material: LiTaOs2
Method: DFT, PBEsol
State: relaxed

```
LiTaOs2
1.0
2.6875 0.0000 0.0006
0.0000 4.2240 0.0000
-0.4774 0.0000 5.0199
Li Os Ta
1 2 1
direct
0.0000 0.5000 0.5000
0.7735 0.0000 0.7277
0.2265 0.0000 0.2723
0.5000 0.5000 0.0000
```

Summary:
energy of formation = 0.28 eV/f.u.


| no. | calculated density (g/cm³) |
| --- | --- |
| 1 | 6.1 |
| 2 | 7.1 |
| 3 | 9.8 |
| 4 | 16.6 |